# 1
Compound: La2Mg6Au3
Source: Alexandria via LeMat-Bulk
Functional: GGA-PBE
Structure: relaxed

Structure (POSCAR):
```
La2Mg6Au3
1.0
8.4460 0.0000 0.0000
-4.2230 7.3145 0.0000
0.0000 0.0000 4.3647
La Mg Au
2 6 3
Direct
0.3333 0.6667 0.0000
0.6667 0.3333 0.0000
0.0000 0.2915 0.5000
0.0000 0.7957 0.0000
0.2043 0.2043 0.0000
0.2915 0.0000 0.5000
0.7085 0.7085 0.5000
0.7957 0.0000 0.0000
0.0000 0.6114 0.5000
0.3886 0.3886 0.5000
0.6114 0.0000 0.5000
```

Results
Energy = -34.0 eV/cell

***

# 2
Compound: Cs3CoAg2Cl6
Source: Alexandria via LeMat-Bulk
Functional: GGA-PBE
Structure: relaxed

Structure (POSCAR):
```
Cs3CoAg2Cl6
1.0
7.6919 0.0000 0.0000
-3.8460 6.6614 0.0000
0.0000 0.0000 8.7068
Cs Co Ag Cl
3 1 2 6
Direct
0.0000 0.0000 0.0000
0.3333 0.6667 0.6565
0.6667 0.3333 0.3435
0.0000 0.0000 0.5000
0.3333 0.6667 0.2551
0.6667 0.3333 0.7449
0.1498 0.2995 0.3198
0.1498 0.8502 0.3198
0.2995 0.1498 0.6802
0.7005 0.8502 0.3198
0.8502 0.1498 0.6802
0.8502 0.7005 0.6802
```

Results
Energy = -38.7 eV/cell

***

# 3
Compound: BaMoCl
Source: Alexandria via LeMat-Bulk
Functional: GGA-PBE
Structure: relaxed

Structure (POSCAR):
```
BaMoCl
1.0
4.1479 0.0000 0.0000
1.8442 6.5754 0.0000
1.8171 -0.1225 6.6529
Ba Mo Cl
2 2 2
Direct
0.0000 0.0000 0.0000
0.0000 0.5000 0.5000
0.3391 0.4309 0.9382
0.6609 0.5691 0.0618
0.4039 0.8388 0.3458
0.5961 0.1612 0.6542
```

Results
Relative energy among the computed polymorphs = 173 meV per atom

***

Looking at DOS at the Fermi energy for the records above, in order, we have 1.111 0.811 0.829 states/eV per atom.